No. 1
VASP calculation (GGA+U) on VRe3O after structural relaxation.

Summary:
N(E_F)	1.265	states/eV/atom
energy above the lowest structure with this stoichiometry	11.20	eV/f.u.
total magnetic moment	2.489	μB/f.u.

abc: 4.5192 4.5192 4.5192
angles: 90.00 90.00 90.00
With the nearest neighbours (Å) after each atom.
Space group Pm-3m (No. 221)
Inequivalent atoms, fractional coordinates:
V: 0.0000 0.0000 0.0000 (multiplicity 1)  6 Re 2.26
Re: 0.0000 0.0000 0.5000 (multiplicity 3)  2 V 2.26
O: 0.5000 0.5000 0.5000 (multiplicity 1)  12 Re 3.20


No. 2
VASP calculation (GGA+U) on V2Re2O11 after structural relaxation.

Summary:
energy above the lowest structure with this stoichiometry	0.65	eV/f.u.
total magnetic moment	2.000	μB/f.u.

abc: 7.1246 12.9800 9.1464
angles: 90.00 90.00 90.00
With the nearest neighbours (Å) after each atom.
Space group Cmc2_1 (No. 36)
Inequivalent atoms, fractional coordinates:
V: 0.0000 0.0643 0.0000 (multiplicity 4)  2 O 1.70-1.85
V: 0.0000 0.2755 0.2268 (multiplicity 4)  1 O 1.68
Re: 0.0000 0.2031 0.6403 (multiplicity 4)  5 O 1.77-1.91
Re: 0.0000 0.4987 0.0334 (multiplicity 4)  4 O 1.71-1.79
O: 0.0000 0.0758 0.5349 (multiplicity 4)  1 V 1.85, 1 Re 1.91
O: 0.0000 0.1344 0.1569 (multiplicity 4)  1 V 1.70
O: 0.0000 0.1492 0.8238 (multiplicity 4)  1 Re 1.82, 1 V 1.95
O: 0.0000 0.2530 0.4082 (multiplicity 4)  1 V 1.68
O: 0.0000 0.3388 0.6644 (multiplicity 4)  1 Re 1.77
O: 0.0000 0.3875 0.9329 (multiplicity 4)  1 Re 1.71
O: 0.0000 0.4459 0.2123 (multiplicity 4)  1 Re 1.77
O: 0.2174 0.4429 0.4801 (multiplicity 8)  1 Re 1.79
O: 0.2363 0.2975 0.1381 (multiplicity 8)  1 Re 1.88, 1 V 1.89